Entry 1:
A plane-wave DFT calculation with GGA-PBE was carried out for a relaxed Nd3Dy2HoAs6 crystal.

Output
**Total DFT energy (no corrections)**: -6.18 eV per atom
**ΔE_f**: -1.517 eV/atom
**Calculated volume**: 26.07 A^3/atom

Cell: 7.264 7.264 7.260 Å, 99.59 99.59 119.99°
Atoms (fractional coordinates):
Nd 0.000 0.000 0.000
Nd 0.333 0.667 0.000
Nd 0.667 0.333 0.000
Dy 0.167 0.833 0.500
Dy 0.833 0.167 0.500
Ho 0.500 0.500 0.500
As 0.087 0.420 0.260
As 0.247 0.247 0.740
As 0.420 0.087 0.260
As 0.580 0.913 0.740
As 0.753 0.753 0.260
As 0.913 0.580 0.740



Entry 2:
A plane-wave DFT calculation with GGA-PBE was carried out for a relaxed DyHo2NpAs4 crystal.

Output
**Total DFT energy (no corrections)**: -6.97 eV per atom
**ΔE_f**: -1.310 eV/atom
**Calculated volume**: 24.42 A^3/atom

Cell: 7.105 4.099 7.107 Å, 90.00 109.32 90.00°
Atoms (fractional coordinates):
Dy 0.000 0.000 0.000
Ho 0.500 0.000 0.500
Ho 0.500 0.500 0.000
Np 0.000 0.500 0.500
As 0.249 0.500 0.252
As 0.250 0.000 0.749
As 0.750 0.000 0.251
As 0.751 0.500 0.748



Entry 3:
A plane-wave DFT calculation with GGA-PBE was carried out for a relaxed DyHoNp2As4 crystal.

Output
**Total DFT energy (no corrections)**: -7.81 eV per atom
**ΔE_f**: -1.103 eV/atom
**Calculated volume**: 24.47 A^3/atom

Cell: 7.103 4.099 7.127 Å, 90.00 109.39 90.00°
Atoms (fractional coordinates):
Dy 0.000 0.000 0.000
Ho 0.500 0.500 0.000
Np 0.000 0.500 0.500
Np 0.500 0.000 0.500
As 0.250 0.000 0.748
As 0.251 0.500 0.252
As 0.749 0.500 0.748
As 0.750 0.000 0.252



Entry 4:
A plane-wave DFT calculation with GGA-PBE was carried out for a relaxed Dy2HoNpAs4 crystal.

Output
**Total DFT energy (no corrections)**: -6.98 eV per atom
**ΔE_f**: -1.312 eV/atom
**Calculated volume**: 24.50 A^3/atom

Cell: 7.113 4.103 7.115 Å, 90.00 109.31 90.00°
Atoms (fractional coordinates):
Dy 0.000 0.000 0.000
Dy 0.500 0.500 0.000
Ho 0.000 0.500 0.500
Np 0.500 0.000 0.500
As 0.251 0.000 0.747
As 0.251 0.500 0.252
As 0.749 0.000 0.253
As 0.749 0.500 0.748



Entry 5:
A plane-wave DFT calculation with GGA-PBE was carried out for a relaxed DyHoAsO2 crystal.

Output
**Total DFT energy (no corrections)**: -7.45 eV per atom
**E_form (uncorrected)**: -2.701 eV/atom
**Calculated volume**: 18.33 A^3/atom

Cell: 6.942 6.942 6.942 Å, 148.39 148.39 45.31°
Atoms (fractional coordinates):
Dy 0.000 0.000 0.000
Ho 0.321 0.321 0.000
As 0.661 0.661 0.000
O 0.410 0.910 0.500
O 0.910 0.410 0.500



Entry 6:
A plane-wave DFT calculation with GGA-PBE was carried out for a relaxed DyHoAs2O8 crystal.

Output
**Total DFT energy (no corrections)**: -7.21 eV per atom
**E_form (uncorrected)**: -2.361 eV/atom
**Calculated volume**: 11.96 A^3/atom

Cell: 6.682 6.682 6.682 Å, 135.70 135.70 64.44°
Atoms (fractional coordinates):
Dy 0.000 0.000 0.000
Ho 0.250 0.750 0.500
As 0.500 0.500 0.000
As 0.750 0.250 0.500
O 0.271 0.673 0.104
O 0.327 0.430 0.598
O 0.418 0.021 0.097
O 0.570 0.168 0.896
O 0.679 0.582 0.602
O 0.832 0.729 0.402
O 0.924 0.321 0.903
O 0.979 0.076 0.398



Entry 7:
A plane-wave DFT calculation with GGA-PBE was carried out for a relaxed Dy2HoPaAs5 crystal.

Output
**Total DFT energy (no corrections)**: -5.63 eV per atom
**ΔE_f**: -0.460 eV/atom
**Calculated volume**: 30.79 A^3/atom

Cell: 5.054 5.054 10.847 Å, 90.00 90.00 90.00°
Atoms (fractional coordinates):
Dy 0.000 0.000 0.234
Dy 0.000 0.000 0.766
Ho 0.500 0.500 0.500
Pa 0.500 0.500 0.000
As 0.000 0.000 0.500
As 0.000 0.500 0.000
As 0.500 0.000 0.000
As 0.500 0.500 0.255
As 0.500 0.500 0.745



Entry 8:
A plane-wave DFT calculation with GGA-PBE was carried out for a relaxed DyHoPa2As4 crystal.

Output
**Total DFT energy (no corrections)**: -7.12 eV per atom
**ΔE_f**: -1.278 eV/atom
**Calculated volume**: 24.29 A^3/atom

Cell: 7.088 4.098 7.097 Å, 90.00 109.50 90.00°
Atoms (fractional coordinates):
Dy 0.000 0.000 0.000
Ho 0.000 0.500 0.500
Pa 0.500 0.000 0.500
Pa 0.500 0.500 0.000
As 0.251 0.000 0.750
As 0.251 0.500 0.251
As 0.749 0.000 0.250
As 0.749 0.500 0.749



Entry 9:
A plane-wave DFT calculation with GGA-PBE was carried out for a relaxed Pm3Dy2HoAs6 crystal.

Output
**Total DFT energy (no corrections)**: -6.19 eV per atom
**ΔE_f**: -1.527 eV/atom
**Calculated volume**: 25.74 A^3/atom

Cell: 9.335 9.335 8.348 Å, 102.87 102.87 25.86°
Atoms (fractional coordinates):
Pm 0.000 0.000 0.000
Pm 0.333 0.333 0.667
Pm 0.667 0.667 0.333
Dy 0.333 0.333 0.167
Dy 0.667 0.667 0.833
Ho 0.000 0.000 0.500
As 0.165 0.165 0.587
As 0.168 0.168 0.079
As 0.498 0.498 0.255
As 0.502 0.502 0.745
As 0.832 0.832 0.921
As 0.835 0.835 0.413



Entry 10:
A plane-wave DFT calculation with GGA-PBE was carried out for a relaxed PmDyHo2As4 crystal.

Output
**Total DFT energy (no corrections)**: -6.16 eV per atom
**ΔE_f**: -1.526 eV/atom
**Calculated volume**: 25.09 A^3/atom

Cell: 7.169 4.142 7.170 Å, 90.00 109.47 90.00°
Atoms (fractional coordinates):
Pm 0.000 0.000 0.000
Dy 0.000 0.500 0.500
Ho 0.500 0.000 0.500
Ho 0.500 0.500 0.000
As 0.254 0.000 0.748
As 0.256 0.500 0.255
As 0.744 0.500 0.745
As 0.746 0.000 0.252



Entry 11:
A plane-wave DFT calculation with GGA-PBE was carried out for a relaxed PrDy2HoAs4 crystal.

Output
**Total DFT energy (no corrections)**: -6.16 eV per atom
**ΔE_f**: -1.514 eV/atom
**Calculated volume**: 25.52 A^3/atom

Cell: 7.209 4.166 7.210 Å, 90.00 109.47 90.00°
Atoms (fractional coordinates):
Pr 0.000 0.000 0.000
Dy 0.000 0.500 0.500
Dy 0.500 0.000 0.500
Ho 0.500 0.500 0.000
As 0.255 0.000 0.747
As 0.258 0.500 0.257
As 0.742 0.500 0.743
As 0.745 0.000 0.253



Entry 12:
A plane-wave DFT calculation with GGA-PBE was carried out for a relaxed Pr2Dy3HoAs6 crystal.

Output
**Total DFT energy (no corrections)**: -6.16 eV per atom
**ΔE_f**: -1.511 eV/atom
**Calculated volume**: 25.84 A^3/atom

Cell: 9.346 9.346 8.359 Å, 102.91 102.91 25.86°
Atoms (fractional coordinates):
Pr 0.166 0.166 0.332
Pr 0.834 0.834 0.668
Dy 0.167 0.167 0.834
Dy 0.500 0.500 0.500
Dy 0.833 0.833 0.166
Ho 0.500 0.500 0.000
As 0.003 0.003 0.753
As 0.334 0.334 0.925
As 0.336 0.336 0.410
As 0.664 0.664 0.590
As 0.666 0.666 0.075
As 0.997 0.997 0.247



Number 1: total magnetic moment 0.000 μB per atom. Number 2: total magnetic moment 0.471 μB per atom. Number 3: total magnetic moment 0.956 μB per atom. Number 4: total magnetic moment 0.470 μB per atom. Number 5: total magnetic moment 0.000 μB per atom. Number 6: total magnetic moment 0.000 μB per atom. Number 7: total magnetic moment 0.000 μB per atom. Number 8: total magnetic moment 0.000 μB per atom. Number 9: total magnetic moment 0.000 μB per atom. Number 10: total magnetic moment 0.000 μB per atom. Number 11: total magnetic moment 0.000 μB per atom. Number 12: total magnetic moment 0.000 μB per atom.